# CaZnS2N

A crystal of CaZnS2N relaxed with PBEsol (SCAN, Alexandria via LeMat-Bulk).

abc: 5.189 5.189 4.405
angles: 90.00 90.00 90.00
Space group P4/mmm (No. 123)
Unique sites:
Ca 0.000 0.000 0.000 (multiplicity 1)
Zn 0.500 0.500 0.500 (multiplicity 1)
S 0.000 0.500 0.000 (multiplicity 2)
N 0.000 0.000 0.500 (multiplicity 1)

Calculated values
Raw formation energy, eV/f.u.: 3.40
Crystal system: tetragonal

# KHfAl3

A crystal of KHfAl3 relaxed with PBEsol (SCAN, Alexandria via LeMat-Bulk).

abc: 5.335 5.335 5.335
angles: 90.00 90.00 90.00
Space group Pm-3m (No. 221)
Unique sites:
K 0.000 0.000 0.000 (multiplicity 1)
Hf 0.500 0.500 0.500 (multiplicity 1)
Al 0.000 0.500 0.500 (multiplicity 3)

Calculated values
DFT formation energy, eV/atom: 0.6280
Crystal system: cubic

# BaYCrCuO5

A crystal of BaYCrCuO5 relaxed with PBEsol (SCAN, Alexandria via LeMat-Bulk).

abc: 3.854 3.854 7.489
angles: 90.00 90.00 90.00
Space group P4mm (No. 99)
Unique sites:
Ba 0.000 0.000 0.000 (multiplicity 1)
Y 0.000 0.000 0.473 (multiplicity 1)
Cr 0.500 0.500 0.712 (multiplicity 1)
Cu 0.500 0.500 0.276 (multiplicity 1)
O 0.000 0.500 0.294 (multiplicity 2)
O 0.000 0.500 0.669 (multiplicity 2)
O 0.500 0.500 0.954 (multiplicity 1)

Calculated values
Raw formation energy, eV/f.u.: -23.57
Crystal system: tetragonal

# Li4Cr3Ni2Sn3O16

A crystal of Li4Cr3Ni2Sn3O16 relaxed with PBEsol (SCAN, Alexandria via LeMat-Bulk).

abc: 10.361 5.941 9.441
angles: 90.00 91.10 90.00
Space group Cm (No. 8)
Unique sites:
Li 0.000 0.000 0.000 (multiplicity 2)
Li 0.014 0.000 0.511 (multiplicity 2)
Li 0.140 0.500 0.105 (multiplicity 2)
Li 0.305 0.000 0.614 (multiplicity 2)
Cr 0.062 0.258 0.789 (multiplicity 4)
Cr 0.152 0.000 0.285 (multiplicity 2)
Ni 0.145 0.500 0.518 (multiplicity 2)
Ni 0.311 0.000 0.011 (multiplicity 2)
Sn 0.310 0.500 0.789 (multiplicity 2)
Sn 0.396 0.248 0.290 (multiplicity 4)
O 0.074 0.244 0.398 (multiplicity 4)
O 0.140 0.500 0.900 (multiplicity 2)
O 0.147 0.000 0.884 (multiplicity 2)
O 0.206 0.277 0.659 (multiplicity 4)
O 0.231 0.215 0.161 (multiplicity 4)
O 0.308 0.000 0.407 (multiplicity 2)
O 0.326 0.500 0.416 (multiplicity 2)
O 0.409 0.251 0.902 (multiplicity 4)
O 0.457 0.000 0.152 (multiplicity 2)
O 0.484 0.500 0.692 (multiplicity 2)
O 0.487 0.500 0.184 (multiplicity 2)
O 0.496 0.000 0.673 (multiplicity 2)

Calculated values
Raw formation energy, eV/f.u.: -53.92
Crystal system: monoclinic